A plane-wave DFT calculation with PBE-GGA was carried out for a geometry-optimized NdLuAgRh structure.

Cell and atoms, written as POSCAR:
```
NdLuAgRh
1.0
-4.401 0.159 2.419
-0.527 -2.342 4.414
-0.448 2.678 4.228
Ag Rh Nd Lu
1 1 1 1
Direct
0.250 0.250 0.250
0.750 0.750 0.750
0.500 0.500 0.500
0.000 0.000 0.000
```

## Properties
- Size of the total moment: 0.0 μB/f.u.
- E_tot: -21.56 eV per cell
- Calculated volume: 22.42 Å³ per atom
- ΔE_f: -518 meV per atom
- Symmetry: F-43m (216)

A plane-wave DFT calculation with PBE-GGA was carried out for a geometry-optimized NdLuSiAg structure.

Cell and atoms, written as POSCAR:
```
NdLuSiAg
1.0
-3.634 1.803 -3.072
-4.861 -0.053 1.504
-2.359 4.363 1.137
Lu Ag Nd Si
1 1 1 1
Direct
0.000 0.000 0.000
0.250 0.250 0.250
0.500 0.500 0.500
0.750 0.750 0.750
```

## Properties
- Size of the total moment: 0.0 μB/f.u.
- E_tot: -19.16 eV per cell
- Calculated volume: 23.29 Å³ per atom
- Uncorrected formation energy: -0.400 eV/atom
- Symmetry: F-43m (216)

A plane-wave DFT calculation with PBE-GGA was carried out for a geometry-optimized TbNdLuAg structure.

Cell and atoms, written as POSCAR:
```
TbNdLuAg
1.0
-3.964 2.084 3.031
-1.107 -2.134 4.844
1.197 2.746 4.502
Ag Lu Tb Nd
1 1 1 1
Direct
0.750 0.750 0.750
0.250 0.250 0.250
0.000 0.000 0.000
0.500 0.500 0.500
```

## Properties
- Size of the total moment: 0.0 μB/f.u.
- E_tot: -16.60 eV per cell
- Calculated volume: 27.95 Å³ per atom
- ΔE_f: 42 meV per atom
- Symmetry: F-43m (216)

A plane-wave DFT calculation with PBE-GGA was carried out for a geometry-optimized NdLuTcAg structure.

Cell and atoms, written as POSCAR:
```
NdLuTcAg
1.0
-4.182 1.745 -2.125
-0.562 -0.220 -4.968
-3.302 -3.181 -2.007
Tc Nd Ag Lu
1 1 1 1
Direct
0.750 0.750 0.750
0.500 0.500 0.500
0.250 0.250 0.250
0.000 0.000 0.000
```

## Properties
- Size of the total moment: 0.0 μB/f.u.
- E_tot: -22.75 eV per cell
- Calculated volume: 22.16 Å³ per atom
- ΔE_f: -60 meV per atom
- Symmetry: F-43m (216)

A plane-wave DFT calculation with PBE-GGA was carried out for a geometry-optimized NdTmLuAg structure.

Cell and atoms, written as POSCAR:
```
NdTmLuAg
1.0
5.380 0.000 0.000
2.690 4.659 0.000
2.690 1.553 4.393
Lu Tm Ag Nd
1 1 1 1
Direct
0.750 0.750 0.750
0.000 0.000 0.000
0.250 0.250 0.250
0.500 0.500 0.500
```

## Properties
- Size of the total moment: 0.0 μB/f.u.
- E_tot: -16.42 eV per cell
- Calculated volume: 27.53 Å³ per atom
- ΔE_f: 49 meV per atom
- Symmetry: F-43m (216)

A plane-wave DFT calculation with PBE-GGA was carried out for a geometry-optimized NdYLuAg structure.

Cell and atoms, written as POSCAR:
```
NdYLuAg
1.0
-2.119 1.134 -4.848
-0.854 -3.971 -3.576
-5.052 -1.544 -1.173
Y Ag Lu Nd
1 1 1 1
Direct
0.750 0.750 0.750
0.000 0.000 0.000
0.500 0.500 0.500
0.250 0.250 0.250
```

## Properties
- Size of the total moment: 0.0 μB/f.u.
- E_tot: -18.44 eV per cell
- Calculated volume: 28.01 Å³ per atom
- ΔE_f: 42 meV per atom
- Symmetry: F-43m (216)

A plane-wave DFT calculation with PBE-GGA was carried out for a geometry-optimized Lu2NiAg structure.

Cell and atoms, written as POSCAR:
```
Lu2NiAg
1.0
-0.966 2.473 4.075
2.330 -1.103 4.124
3.303 3.069 1.823
Lu Ni Ag
2 1 1
Direct
0.250 0.250 0.250
0.750 0.750 0.750
0.000 0.000 0.000
0.500 0.500 0.500
```

## Properties
- Size of the total moment: 0.0 μB/f.u.
- E_tot: -19.13 eV per cell
- Calculated volume: 20.34 Å³ per atom
- ΔE_f: -363 meV per atom
- Symmetry: Fm-3m (225)
- Distance to the lowest polymorph of the same formula: 4.6 kJ per mole of atoms

A plane-wave DFT calculation with PBE-GGA was carried out for a geometry-optimized Lu2NiAg structure.

Cell and atoms, written as POSCAR:
```
Lu2NiAg
1.0
-0.529 -0.071 -3.351
-3.255 -0.799 0.531
-1.665 6.866 0.117
Ni Lu Ag
1 2 1
Direct
0.500 0.500 0.000
0.000 0.000 0.226
0.000 0.000 0.774
0.500 0.500 0.500
```

## Properties
- Size of the total moment: 0.0 μB/f.u.
- E_tot: -19.32 eV per cell
- Calculated volume: 20.34 Å³ per atom
- ΔE_f: -411 meV per atom
- Symmetry: P4/mmm (123)
- Distance to the lowest polymorph of the same formula: 0.0 kJ per mole of atoms

Question: Look up the calculated volume of the sixth one.
Answer: 28.01 Å³ per atom

Please write out number 8 again, unchanged.
A plane-wave DFT calculation with PBE-GGA was carried out for a geometry-optimized Lu2NiAg structure.

Cell and atoms, written as POSCAR:
```
Lu2NiAg
1.0
-0.529 -0.071 -3.351
-3.255 -0.799 0.531
-1.665 6.866 0.117
Ni Lu Ag
1 2 1
Direct
0.500 0.500 0.000
0.000 0.000 0.226
0.000 0.000 0.774
0.500 0.500 0.500
```

## Properties
- Size of the total moment: 0.0 μB/f.u.
- E_tot: -19.32 eV per cell
- Calculated volume: 20.34 Å³ per atom
- ΔE_f: -411 meV per atom
- Symmetry: P4/mmm (123)
- Distance to the lowest polymorph of the same formula: 0.0 kJ per mole of atoms

Question: What is the formula in the eighth record?
Answer: Lu2NiAg